Density functional theory data (PBE-GGA) for crystalline Mn2MoRh at its relaxed geometry.

Results
Electronic total energy ... -36.1 eV per formula unit
Total moment ... 3.37 μB/f.u.
Formation enthalpy at 0 K ... 0.1077 eV/atom

The structure in POSCAR format:
```
Mn2MoRh
1.0
1.8549 -1.8694 0.0000
1.8549 1.8694 0.0000
0.0000 0.0000 7.7355
Mn Mo Rh
2 1 1
Cartesian
0.0000 0.0000 1.8293 Mn
0.0000 0.0000 5.9062 Mn
1.8549 0.0000 3.8677 Mo
1.8549 0.0000 0.0000 Rh
```